## ScSi2Ag (PBE)

Data for ScSi2Ag after structural relaxation.

Geometry as CIF:
```
data_ScSi2Ag
_chemical_formula_sum 'Sc1 Si2 Ag1'
_cell_length_a 2.913
_cell_length_b 4.537
_cell_length_c 5.148
_cell_angle_alpha 90.00
_cell_angle_beta 90.00
_cell_angle_gamma 90.00
_symmetry_space_group_name_H-M 'P m m 2'
_symmetry_Int_Tables_number 25
loop_
_symmetry_equiv_pos_as_xyz
'x,y,z'
'-x,-y,z'
'-x,y,z'
'x,-y,z'
loop_
_atom_site_label
_atom_site_fract_x
_atom_site_fract_y
_atom_site_fract_z
Sc1 0.000 0.000 0.000
Si1 0.500 0.000 0.521
Si2 0.500 0.500 0.776
Ag1 0.500 0.500 0.270
```

Results
DOS(E_F) (states/eV/cell): 2.23
Formation energy from raw total energies (eV/atom): -0.170